No. 1
## HgAsRu2 (PBE)

Data for HgAsRu2 after structural relaxation.

Results
Crystal system = trigonal
Formation enthalpy at 0 K = 296 meV/atom
N(E_F) = 7.56 states/eV/cell

abc: 2.8689 2.8689 31.2634
angles: 90.00 90.00 120.00
Fractional coordinates of all 12 atoms:
Hg  0.0000  0.0000  0.0000
Hg  0.3333  0.6667  0.6667
Hg  0.6667  0.3333  0.3333
As  0.0000  0.0000  0.2089
As  0.3333  0.6667  0.8756
As  0.6667  0.3333  0.5422
Ru  0.0000  0.0000  0.4808
Ru  0.0000  0.0000  0.7473
Ru  0.3333  0.6667  0.1475
Ru  0.3333  0.6667  0.4139
Ru  0.6667  0.3333  0.0806
Ru  0.6667  0.3333  0.8142

---

No. 2
## HgAsRu2 (PBE)

Data for HgAsRu2 after structural relaxation.

Results
Crystal system = tetragonal
Formation enthalpy at 0 K = 630 meV/atom
N(E_F) = 11.13 states/eV/cell

abc: 3.9534 3.9534 8.3967
angles: 90.00 90.00 90.00
Fractional coordinates of all 8 atoms:
Hg  0.0000  0.0000  0.0000
Hg  0.5000  0.5000  0.5000
As  0.0000  0.5000  0.2500
As  0.5000  0.0000  0.7500
Ru  0.0000  0.0000  0.5000
Ru  0.0000  0.5000  0.7500
Ru  0.5000  0.0000  0.2500
Ru  0.5000  0.5000  0.0000

---

No. 3
## HgAsRu2 (PBE)

Data for HgAsRu2 after structural relaxation.

Results
Crystal system = cubic
Formation enthalpy at 0 K = 644 meV/atom
N(E_F) = 20.43 states/eV/cell

abc: 6.4319 6.4319 6.4319
angles: 90.00 90.00 90.00
Fractional coordinates of all 16 atoms:
Hg  0.0000  0.0000  0.0000
Hg  0.0000  0.5000  0.5000
Hg  0.5000  0.0000  0.5000
Hg  0.5000  0.5000  0.0000
As  0.2500  0.2500  0.2500
As  0.2500  0.7500  0.7500
As  0.7500  0.2500  0.7500
As  0.7500  0.7500  0.2500
Ru  0.0000  0.0000  0.5000
Ru  0.0000  0.5000  0.0000
Ru  0.2500  0.2500  0.7500
Ru  0.2500  0.7500  0.2500
Ru  0.5000  0.0000  0.0000
Ru  0.5000  0.5000  0.5000
Ru  0.7500  0.2500  0.2500
Ru  0.7500  0.7500  0.7500

---

No. 4
## HgAsRu2 (PBE)

Data for HgAsRu2 after structural relaxation.

Results
Crystal system = orthorhombic
Formation enthalpy at 0 K = 630 meV/atom
N(E_F) = 3.75 states/eV/cell

abc: 3.0210 4.4188 5.0031
angles: 90.00 90.00 90.00
Fractional coordinates of all 4 atoms:
Hg  0.0000  0.0000  0.0000
As  0.5000  0.0000  0.5000
Ru  0.0000  0.5000  0.5000
Ru  0.5000  0.5000  0.0000